Material: Li2NiO2
Method: DFT, PBE+U
State: optimized geometry

**V**: 42.24 Å³/f.u.
**VASP energy**: -4.128 eV/atom
**N(E_F)**: 3.81 states/eV per cell

Cell: 2.949 2.949 9.714 Å, 90.00 90.00 90.00°
Atoms (fractional coordinates):
Li (0.000, 0.500, 0.250)
Li (0.000, 0.500, 0.750)
Li (0.500, 0.000, 0.250)
Li (0.500, 0.000, 0.750)
Ni (0.000, 0.000, 0.000)
Ni (0.500, 0.500, 0.500)
O (0.000, 0.000, 0.371)
O (0.000, 0.000, 0.629)
O (0.500, 0.500, 0.129)
O (0.500, 0.500, 0.871)

---

Material: Li7Mn2Co3O12
Method: DFT, PBE+U
State: optimized geometry

**V**: 214.85 Å³/f.u.
**VASP energy**: -5.760 eV/atom
**N(E_F)**: 0.26 states/eV per cell

Cell: 5.094 5.094 15.477 Å, 97.32 97.32 32.67°
Atoms (fractional coordinates):
Li (0.000, 0.000, 0.000)
Li (0.244, 0.244, 0.580)
Li (0.250, 0.250, 0.240)
Li (0.269, 0.269, 0.929)
Li (0.731, 0.731, 0.071)
Li (0.750, 0.750, 0.760)
Li (0.756, 0.756, 0.420)
Mn (0.009, 0.009, 0.337)
Mn (0.991, 0.991, 0.663)
Co (0.489, 0.489, 0.151)
Co (0.500, 0.500, 0.500)
Co (0.511, 0.511, 0.849)
O (0.097, 0.097, 0.769)
O (0.110, 0.110, 0.460)
O (0.119, 0.119, 0.133)
O (0.375, 0.375, 0.052)
O (0.377, 0.377, 0.692)
O (0.400, 0.400, 0.384)
O (0.600, 0.600, 0.616)
O (0.623, 0.623, 0.308)
O (0.625, 0.625, 0.948)
O (0.881, 0.881, 0.867)
O (0.890, 0.890, 0.540)
O (0.903, 0.903, 0.231)